(1)
## Ce5Bi2Rh (PBE)

Data for a relaxed Ce5Bi2Rh crystal.

Output
Fermi-level density of states, states/eV per cell: 54.8
Calculated density, g cm⁻³: 8.6
Total energy, eV/f.u.: -49.46
ΔE to the lowest computed polymorph, meV/atom: 0
ΔH_f (0 K), kJ/mol of formula units: -451.3

a b c (Å): 7.9871 12.5865 4.6704
angles (deg): 90.00 90.00 90.00
Element x y z (fractional)
Ce: 0.0000 0.0000 0.0000
Ce: 0.1209 0.3046 0.0000
Ce: 0.2120 0.5565 0.5000
Ce: 0.2880 0.0565 0.5000
Ce: 0.3791 0.8046 0.0000
Ce: 0.5000 0.5000 0.0000
Ce: 0.6209 0.1954 0.0000
Ce: 0.7120 0.9435 0.5000
Ce: 0.7880 0.4435 0.5000
Ce: 0.8791 0.6954 0.0000
Bi: 0.0908 0.8202 0.5000
Bi: 0.4092 0.3202 0.5000
Bi: 0.5908 0.6798 0.5000
Bi: 0.9092 0.1798 0.5000
Rh: 0.0000 0.5000 0.0000
Rh: 0.5000 0.0000 0.0000

---

(2)
## MnGeIr2 (PBE)

Data for a relaxed MnGeIr2 crystal.

Output
Fermi-level density of states, states/eV per cell: 1.9
Calculated density, g cm⁻³: 14.7
Total energy, eV/f.u.: -31.99
ΔH_f (0 K), kJ/mol of formula units: -46.1

a b c (Å): 2.9329 2.9329 6.7405
angles (deg): 90.00 90.00 90.00
Element x y z (fractional)
Mn: 0.0000 0.0000 0.0000
Ge: 0.0000 0.0000 0.5000
Ir: 0.5000 0.5000 0.2659
Ir: 0.5000 0.5000 0.7341

---

(3)
## CsIrO2 (PBE)

Data for a relaxed CsIrO2 crystal.

Output
ΔE_f (raw), eV/atom: -0.5274
Fermi-level density of states, states/eV per cell: 3.4
Calculated density, g cm⁻³: 7.2
Total energy, eV/f.u.: -21.74

a b c (Å): 6.7901 6.7901 6.7901
angles (deg): 133.06 133.06 68.57
Element x y z (fractional)
Cs: 0.0000 0.0000 0.0000
Cs: 0.7500 0.2500 0.5000
Ir: 0.2500 0.7500 0.5000
Ir: 0.5000 0.5000 0.0000
O: 0.3073 0.6250 0.1823
O: 0.3750 0.5573 0.6823
O: 0.4427 0.1250 0.8177
O: 0.8750 0.6927 0.3177

---

(4)
## CrRu2Se (PBE)

Data for a relaxed CrRu2Se crystal.

Output
ΔE_f (raw), eV/atom: 0.2303
Fermi-level density of states, states/eV per cell: 3.8
Calculated density, g cm⁻³: 10.0
Total energy, eV/f.u.: -30.74

a b c (Å): 5.0939 5.0939 5.0939
angles (deg): 146.58 129.68 61.76
Element x y z (fractional)
Cr: 0.0000 0.0000 0.0000
Ru: 0.2724 0.7724 0.5000
Ru: 0.5506 0.5506 0.0000
Se: 0.7781 0.2781 0.5000

---

(5)
## La2YH (PBE)

Data for a relaxed La2YH crystal.

Output
Fermi-level density of states, states/eV per cell: 3.7
Calculated density, g cm⁻³: 5.4
Total energy, eV/f.u.: -20.00
ΔE to the lowest computed polymorph, meV/atom: 76

a b c (Å): 6.6422 6.6422 6.6422
angles (deg): 110.18 110.18 108.05
Element x y z (fractional)
La: 0.0032 0.6250 0.8782
La: 0.3750 0.2532 0.3782
La: 0.7468 0.1250 0.1218
La: 0.8750 0.9968 0.6218
Y: 0.2500 0.7500 0.5000
Y: 0.5000 0.5000 0.0000
H: 0.0000 0.0000 0.0000
H: 0.7500 0.2500 0.5000

---

(6)
## BaOsSe2 (PBE)

Data for a relaxed BaOsSe2 crystal.

Output
ΔE_f (raw), eV/atom: 0.1831
Fermi-level density of states, states/eV per cell: 3.9
Calculated density, g cm⁻³: 8.9
Total energy, eV/f.u.: -19.39
ΔE to the lowest computed polymorph, meV/atom: 817

a b c (Å): 5.0358 5.0358 5.0358
angles (deg): 60.00 60.00 60.00
Element x y z (fractional)
Ba: 0.0000 0.0000 0.0000
Os: 0.5000 0.5000 0.5000
Se: 0.2500 0.2500 0.2500
Se: 0.7500 0.7500 0.7500

---

(7)
## TiIn2Cl5 (PBE)

Data for a relaxed TiIn2Cl5 crystal.

Output
ΔE_f (raw), eV/atom: -1.1792
Fermi-level density of states, states/eV per cell: 5.8
Calculated density, g cm⁻³: 2.7
Total energy, eV/f.u.: -32.04

a b c (Å): 6.6411 7.3449 7.3477
angles (deg): 101.19 112.31 112.66
Element x y z (fractional)
Ti: 0.0000 0.0000 0.0000
In: 0.3911 0.6753 0.2176
In: 0.3916 0.2182 0.6741
Cl: 0.0125 0.7944 0.2272
Cl: 0.0162 0.2302 0.7969
Cl: 0.0712 0.2773 0.2779
Cl: 0.3525 0.0046 0.0035
Cl: 0.6030 0.7312 0.7311

---

(8)
## Ac2In3Hg4 (PBE)

Data for a relaxed Ac2In3Hg4 crystal.

Output
Fermi-level density of states, states/eV per cell: 13.2
Calculated density, g cm⁻³: 10.5
Total energy, eV/f.u.: -20.67
ΔE to the lowest computed polymorph, meV/atom: 35
ΔH_f (0 K), kJ/mol of formula units: -292.5

a b c (Å): 9.2021 9.2021 9.0299
angles (deg): 90.00 90.00 138.43
Element x y z (fractional)
Ac: 0.1161 0.8839 0.9189
Ac: 0.3839 0.6161 0.4189
Ac: 0.6161 0.3839 0.5811
Ac: 0.8839 0.1161 0.0811
In: 0.0000 0.0000 0.5000
In: 0.0352 0.4648 0.7500
In: 0.4648 0.0352 0.2500
In: 0.5000 0.5000 0.0000
In: 0.5352 0.9648 0.7500
In: 0.9648 0.5352 0.2500
Hg: 0.1789 0.8211 0.5417
Hg: 0.2043 0.2957 0.7500
Hg: 0.2957 0.2043 0.2500
Hg: 0.3211 0.6789 0.0417
Hg: 0.6789 0.3211 0.9583
Hg: 0.7043 0.7957 0.7500
Hg: 0.7957 0.7043 0.2500
Hg: 0.8211 0.1789 0.4583

---

Question: What is the Fermi-level density of states in the fourth record?
Answer: 3.8 states/eV per cell

---

Question: total energy of number 4 (CrRu2Se)?
Answer: -30.74 eV/f.u.

---

Repeat the fifth record exactly.
## La2YH (PBE)

Data for a relaxed La2YH crystal.

Output
Fermi-level density of states, states/eV per cell: 3.7
Calculated density, g cm⁻³: 5.4
Total energy, eV/f.u.: -20.00
ΔE to the lowest computed polymorph, meV/atom: 76

a b c (Å): 6.6422 6.6422 6.6422
angles (deg): 110.18 110.18 108.05
Element x y z (fractional)
La: 0.0032 0.6250 0.8782
La: 0.3750 0.2532 0.3782
La: 0.7468 0.1250 0.1218
La: 0.8750 0.9968 0.6218
Y: 0.2500 0.7500 0.5000
Y: 0.5000 0.5000 0.0000
H: 0.0000 0.0000 0.0000
H: 0.7500 0.2500 0.5000